1.
DFT (PBE-GGA) results for a relaxed Na3CdGe crystal.

Values from the calculation:
Energy of formation from the pure elements = 86 kJ/mol of formula units
Energy relative to the lowest polymorph listed for this composition = 204 meV per atom

abc: 5.656 5.656 5.656
angles: 90.00 90.00 90.00
Space group Pm-3m (No. 221)
Inequivalent atoms, fractional coordinates:
Na1 0.000 0.000 0.500 x3
Cd1 0.500 0.500 0.500 x1
Ge1 0.000 0.000 0.000 x1

***

2.
DFT (PBE-GGA) results for a relaxed TbNd6Sm5 crystal.

Values from the calculation:
Energy of formation from the pure elements = 14 kJ/mol of formula units

abc: 6.329 10.962 12.078
angles: 90.00 100.11 90.00
Space group C2/m (No. 12)
Inequivalent atoms, fractional coordinates:
Tb1 0.000 0.000 0.000 x2
Nd1 0.249 0.166 0.249 x8
Nd2 0.250 0.000 0.751 x4
Sm1 0.000 0.167 0.500 x4
Sm2 0.000 0.333 0.000 x4
Sm3 0.000 0.500 0.500 x2

***

3.
DFT (PBE-GGA) results for a relaxed Mn2NbW crystal.

Values from the calculation:
Energy of formation from the pure elements = 4 kJ/mol of formula units

abc: 4.307 4.307 3.007
angles: 90.00 90.00 90.00
Space group P4/mmm (No. 123)
Inequivalent atoms, fractional coordinates:
Mn1 0.000 0.500 0.000 x2
Nb1 0.000 0.000 0.500 x1
W1 0.500 0.500 0.500 x1

***

4.
DFT (PBE-GGA) results for a relaxed ZrNp2PaAs4 crystal.

Values from the calculation:
Energy of formation from the pure elements = -695 kJ/mol of formula units

abc: 6.978 4.053 7.021
angles: 90.00 109.53 90.00
Space group P2/m (No. 10)
Inequivalent atoms, fractional coordinates:
Zr1 0.000 0.000 0.000 x1
Np1 0.500 0.000 0.500 x1
Np2 0.500 0.500 0.000 x1
Pa1 0.000 0.500 0.500 x1
As1 0.242 0.500 0.241 x2
As2 0.244 0.000 0.756 x2

***

5.
DFT (PBE-GGA) results for a relaxed Ta2CoMoH crystal.

Values from the calculation:
Energy relative to the lowest polymorph listed for this composition = 0 meV per atom

abc: 4.386 4.386 3.346
angles: 90.00 90.00 90.00
Space group P4/mmm (No. 123)
Inequivalent atoms, fractional coordinates:
Ta1 0.000 0.500 0.000 x2
Co1 0.000 0.000 0.500 x1
Mo1 0.500 0.500 0.500 x1
H1 0.000 0.000 0.000 x1

***

6.
DFT (PBE-GGA) results for a relaxed Mg4ZnCd3 crystal.

Values from the calculation:
Energy of formation from the pure elements = -67 kJ/mol of formula units

abc: 6.372 6.531 8.596
angles: 90.00 111.55 90.00
Space group C2/m (No. 12)
Inequivalent atoms, fractional coordinates:
Mg1 0.129 0.250 0.260 x8
Zn1 0.000 0.000 0.500 x2
Cd1 0.000 0.500 0.500 x2
Cd2 0.249 0.000 0.999 x4

***

7.
DFT (PBE-GGA) results for a relaxed Sm3Ga2Co3 crystal.

Values from the calculation:
Energy of formation from the pure elements = -255 kJ/mol of formula units

abc: 4.019 11.099 13.878
angles: 90.00 90.00 90.00
Space group Cmcm (No. 63)
Inequivalent atoms, fractional coordinates:
Sm1 0.000 0.078 0.113 x8
Sm2 0.000 0.355 0.250 x4
Ga1 0.000 0.215 0.583 x8
Co1 0.000 0.317 0.750 x4
Co2 0.000 0.403 0.032 x8

***

8.
DFT (PBE-GGA) results for a relaxed Zn8Sb crystal.

Values from the calculation:
ΔE_f (raw) = 0.085 eV/atom

abc: 8.683 8.683 4.036
angles: 90.00 90.00 90.00
Space group I4/mmm (No. 139)
Inequivalent atoms, fractional coordinates:
Zn1 0.000 0.345 0.000 x8
Zn2 0.180 0.180 0.500 x8
Sb1 0.000 0.000 0.000 x2

***

9.
DFT (PBE-GGA) results for a relaxed SmGaAg4 crystal.

Values from the calculation:
Energy of formation from the pure elements = -49 kJ/mol of formula units
Energy relative to the lowest polymorph listed for this composition = 81 meV per atom

abc: 7.209 18.913 4.957
angles: 90.00 133.28 90.00
Space group C2/m (No. 12)
Inequivalent atoms, fractional coordinates:
Sm1 0.230 0.000 0.480 x4
Ga1 0.250 0.250 0.000 x4
Ag1 0.192 0.173 0.441 x8
Ag2 0.192 0.400 0.942 x8

***

10.
DFT (PBE-GGA) results for a relaxed VSnAs2S crystal.

Values from the calculation:
ΔE_f (raw) = 1.256 eV/atom

abc: 5.164 5.164 4.928
angles: 90.00 90.00 90.00
Space group P4/mmm (No. 123)
Inequivalent atoms, fractional coordinates:
V1 0.000 0.000 0.000 x1
Sn1 0.500 0.500 0.500 x1
As1 0.000 0.500 0.500 x2
S1 0.500 0.500 0.000 x1

***

11.
DFT (PBE-GGA) results for a relaxed SmEuMgSc crystal.

Values from the calculation:
Energy of formation from the pure elements = 29 kJ/mol of formula units

abc: 7.815 7.815 7.815
angles: 90.00 90.00 90.00
Space group F-43m (No. 216)
Inequivalent atoms, fractional coordinates:
Sm1 0.000 0.000 0.000 x4
Eu1 0.000 0.000 0.500 x4
Mg1 0.250 0.250 0.250 x4
Sc1 0.250 0.250 0.750 x4

***

12.
DFT (PBE-GGA) results for a relaxed Mg2TaO crystal.

Values from the calculation:
ΔE_f (raw) = -0.288 eV/atom

abc: 5.995 5.995 7.933
angles: 90.00 90.00 90.00
Space group I-42d (No. 122)
Inequivalent atoms, fractional coordinates:
Mg1 0.107 0.250 0.125 x8
Ta1 0.000 0.000 0.500 x4
O1 0.000 0.000 0.000 x4

***

13.
DFT (PBE-GGA) results for a relaxed Zr2FeIr crystal.

Values from the calculation:
Energy of formation from the pure elements = -75 kJ/mol of formula units

abc: 3.638 3.638 5.596
angles: 90.00 90.00 90.00
Space group P4mm (No. 99)
Inequivalent atoms, fractional coordinates:
Zr1 0.000 0.000 0.000 x1
Zr2 0.500 0.500 0.358 x1
Fe1 0.000 0.000 0.490 x1
Ir1 0.500 0.500 0.848 x1

***

14.
DFT (PBE-GGA) results for a relaxed Cu2SiAuSe4 crystal.

Values from the calculation:
ΔE_f (raw) = -0.223 eV/atom

abc: 8.139 8.142 10.833
angles: 90.00 90.00 90.00
Space group Fmm2 (No. 42)
Inequivalent atoms, fractional coordinates:
Cu1 0.250 0.250 0.000 x8
Si1 0.000 0.000 0.250 x4
Au1 0.000 0.000 0.750 x4
Se1 0.000 0.229 0.121 x8
Se2 0.229 0.000 0.379 x8

***

15.
DFT (PBE-GGA) results for a relaxed SrMo2I crystal.

Values from the calculation:
ΔE_f (raw) = 0.936 eV/atom
Energy relative to the lowest polymorph listed for this composition = 0 meV per atom

abc: 4.662 4.662 19.839
angles: 90.00 90.00 90.00
Space group I-42d (No. 122)
Inequivalent atoms, fractional coordinates:
Sr1 0.000 0.000 0.000 x4
Mo1 0.083 0.750 0.625 x8
I1 0.000 0.000 0.500 x4

***

16.
DFT (PBE-GGA) results for a relaxed PrSm6Ho2 crystal.

Values from the calculation:
Energy of formation from the pure elements = 14 kJ/mol of formula units
Energy relative to the lowest polymorph listed for this composition = 0 meV per atom

abc: 3.620 8.851 9.560
angles: 90.27 100.90 90.08
Space group P-1 (No. 2)
Inequivalent atoms, fractional coordinates:
Pr1 0.000 0.000 0.000 x1
Sm1 0.110 0.665 0.220 x2
Sm2 0.221 0.335 0.443 x2
Sm3 0.333 0.001 0.666 x2
Ho1 0.445 0.665 0.889 x2

***

17.
DFT (PBE-GGA) results for a relaxed MgAsOs2 crystal.

Values from the calculation:
Energy of formation from the pure elements = 121 kJ/mol of formula units
Energy relative to the lowest polymorph listed for this composition = 179 meV per atom

abc: 8.765 2.866 4.896
angles: 90.00 98.34 90.00
Space group C2/m (No. 12)
Inequivalent atoms, fractional coordinates:
Mg1 0.000 0.000 0.000 x2
As1 0.000 0.500 0.500 x2
Os1 0.249 0.000 0.733 x4

***

18.
DFT (PBE-GGA) results for a relaxed AgPd3 crystal.

Values from the calculation:
Energy of formation from the pure elements = 9 kJ/mol of formula units

abc: 4.657 5.611 4.906
angles: 90.00 90.00 90.00
Space group Pmmn (No. 59, origin choice 2)
Inequivalent atoms, fractional coordinates:
Ag1 0.250 0.250 0.161 x2
Pd1 0.250 0.000 0.662 x4
Pd2 0.250 0.750 0.169 x2

***

19.
DFT (PBE-GGA) results for a relaxed PrThPb6 crystal.

Values from the calculation:
Energy of formation from the pure elements = -234 kJ/mol of formula units

abc: 4.927 4.927 9.856
angles: 90.00 90.00 90.00
Space group P4/mmm (No. 123)
Inequivalent atoms, fractional coordinates:
Pr1 0.000 0.000 0.000 x1
Th1 0.000 0.000 0.500 x1
Pb1 0.000 0.500 0.251 x4
Pb2 0.500 0.500 0.000 x1
Pb3 0.500 0.500 0.500 x1

***

20.
DFT (PBE-GGA) results for a relaxed LiIF6 crystal.

Values from the calculation:
ΔE_f (raw) = -1.894 eV/atom

abc: 5.168 8.966 5.159
angles: 90.00 102.45 90.00
Space group C2/m (No. 12)
Inequivalent atoms, fractional coordinates:
Li1 0.000 0.000 0.000 x2
I1 0.000 0.500 0.500 x2
F1 0.233 0.353 0.737 x8
F2 0.248 0.000 0.747 x4

***

| no. | final energy (eV/atom) |
| --- | --- |
| 1 | -1.719 |
| 2 | -4.724 |
| 3 | -10.330 |
| 4 | -8.716 |
| 5 | -9.151 |
| 6 | -1.386 |
| 7 | -5.521 |
| 8 | -1.505 |
| 9 | -3.276 |
| 10 | -4.054 |
| 11 | -5.654 |
| 12 | -5.288 |
| 13 | -8.798 |
| 14 | -4.077 |
| 15 | -5.288 |
| 16 | -4.678 |
| 17 | -6.863 |
| 18 | -4.583 |
| 19 | -4.609 |
| 20 | -3.730 |